Record 1
Cs2KI2 | the Alexandria database | SCAN | single point on PBEsol structure; symmetry = No. 139
1.0
-4.596 -4.896 1.680
2.800 -0.462 6.314
-3.663 7.783 -1.600
K Cs I
1 2 2
direct
0.000 0.000 0.000
0.667 0.667 0.334
0.333 0.333 0.666
0.750 0.250 0.500
0.250 0.750 0.500

---

Record 2
Cs3KI | the Alexandria database | SCAN | single point on PBEsol structure; symmetry = No. 221; ΔE to the lowest computed polymorph = 0.473 eV/atom
1.0
8.114 0.000 0.000
0.000 8.114 0.000
0.000 0.000 8.114
Cs I K
3 1 1
direct
0.000 0.000 0.500
0.000 0.500 0.000
0.500 0.000 0.000
0.500 0.500 0.500
0.000 0.000 0.000

---

Record 3
Cs3KI | the Alexandria database | SCAN | single point on PBEsol structure; symmetry = No. 221; ΔE to the lowest computed polymorph = 0.000 eV/atom
1.0
-5.609 -0.397 -4.951
-4.414 -3.025 5.244
-2.277 6.843 2.031
K I Cs
1 1 3
direct
0.500 0.500 0.500
0.000 0.000 0.000
0.000 0.000 0.500
0.500 0.000 0.000
0.000 0.500 0.000

---

Record 4
CsKI2N | the Alexandria database | SCAN | single point on PBEsol structure; symmetry = No. 123
1.0
-3.026 4.349 -0.823
-3.595 -1.507 5.259
4.034 3.519 3.766
Cs N I K
1 1 2 1
direct
0.500 0.500 0.500
0.500 0.000 0.000
0.000 0.000 0.500
0.000 0.500 0.000
0.000 0.000 0.000

---

Let's list energy in order: -32.606, -31.878, -32.351, -26.103 eV per atom.